Entry 1:
VASP calculation (PBEsol) on a geometry-optimized CuOsSe structure.

Output
- SG: F-43m
- Raw formation energy: 0.779 eV per atom

a = 5.7022 Å, b = 5.7022 Å, c = 5.7022 Å
α = 90.00°, β = 90.00°, γ = 90.00°
Sites, in units of the cell vectors:
Cu (0.0000, 0.0000, 0.0000)
Cu (0.0000, 0.5000, 0.5000)
Cu (0.5000, 0.0000, 0.5000)
Cu (0.5000, 0.5000, 0.0000)
Os (0.0000, 0.0000, 0.5000)
Os (0.0000, 0.5000, 0.0000)
Os (0.5000, 0.0000, 0.0000)
Os (0.5000, 0.5000, 0.5000)
Se (0.2500, 0.2500, 0.2500)
Se (0.2500, 0.7500, 0.7500)
Se (0.7500, 0.2500, 0.7500)
Se (0.7500, 0.7500, 0.2500)

Entry 2:
VASP calculation (PBEsol) on a geometry-optimized SbTeClO3 structure.

Output
- SG: Pnma
- Raw formation energy: -1.112 eV per atom

a = 11.3150 Å, b = 5.3672 Å, c = 6.9939 Å
α = 90.00°, β = 90.00°, γ = 90.00°
Sites, in units of the cell vectors:
Sb (0.2434, 0.2500, 0.0781)
Sb (0.2566, 0.7500, 0.5781)
Sb (0.7434, 0.2500, 0.4219)
Sb (0.7566, 0.7500, 0.9219)
Te (0.0654, 0.7500, 0.1735)
Te (0.4346, 0.2500, 0.6735)
Te (0.5654, 0.7500, 0.3265)
Te (0.9346, 0.2500, 0.8265)
Cl (0.0730, 0.2500, 0.3942)
Cl (0.4270, 0.7500, 0.8942)
Cl (0.5730, 0.2500, 0.1058)
Cl (0.9270, 0.7500, 0.6058)
O (0.1207, 0.5019, 0.9941)
O (0.1207, 0.9981, 0.9941)
O (0.2191, 0.7500, 0.2919)
O (0.2809, 0.2500, 0.7919)
O (0.3793, 0.0019, 0.4941)
O (0.3793, 0.4981, 0.4941)
O (0.6207, 0.5019, 0.5059)
O (0.6207, 0.9981, 0.5059)
O (0.7191, 0.7500, 0.2081)
O (0.7809, 0.2500, 0.7081)
O (0.8793, 0.0019, 0.0059)
O (0.8793, 0.4981, 0.0059)

Entry 3:
VASP calculation (PBEsol) on a geometry-optimized KTe2O structure.

Output
- SG: I4_1/amd
- Raw formation energy: -0.553 eV per atom

a = 6.2805 Å, b = 6.2805 Å, c = 12.7161 Å
α = 90.00°, β = 90.00°, γ = 90.00°
Sites, in units of the cell vectors:
K (0.0000, 0.2500, 0.3750)
K (0.0000, 0.7500, 0.6250)
K (0.5000, 0.2500, 0.1250)
K (0.5000, 0.7500, 0.8750)
Te (0.0000, 0.0000, 0.0000)
Te (0.0000, 0.5000, 0.0000)
Te (0.2500, 0.2500, 0.7500)
Te (0.2500, 0.7500, 0.2500)
Te (0.5000, 0.0000, 0.5000)
Te (0.5000, 0.5000, 0.5000)
Te (0.7500, 0.2500, 0.7500)
Te (0.7500, 0.7500, 0.2500)
O (0.0000, 0.2500, 0.8750)
O (0.0000, 0.7500, 0.1250)
O (0.5000, 0.2500, 0.6250)
O (0.5000, 0.7500, 0.3750)